Record 1
# Ti2Ni2Pt, optimized geometry, DFT PBE
# **Crystal system**: tetragonal
# **ΔE_f**: -0.635 eV per atom
# **Calculated density**: 9.9 g/cm3
# **DOS at the Fermi energy**: 5.83 states/eV per cell
# **M_tot**: 0.0 μB per formula unit
# **Raw total energy**: -73.14 eV/cell
data_Ti2Ni2Pt
_chemical_formula_sum 'Ti4 Ni4 Pt2'
_symmetry_space_group_name_H-M 'P 4/m b m'
_symmetry_Int_Tables_number 127
_symmetry_space_group_name_Hall '-P 4 2ab'
_cell_length_a 6.839
_cell_length_b 6.839
_cell_length_c 2.934
_cell_angle_alpha 90.00
_cell_angle_beta 90.00
_cell_angle_gamma 90.00
loop_
_atom_site_label
_atom_site_type_symbol
_atom_site_fract_x
_atom_site_fract_y
_atom_site_fract_z
Ti1 Ti 0.175 0.325 0.000
Ni1 Ni 0.126 0.626 0.500
Pt1 Pt 0.000 0.000 0.500

=====

Record 2
# TiNi2Pt3, optimized geometry, DFT PBE
# **Crystal system**: orthorhombic
# **ΔE_f**: -0.388 eV per atom
# **Calculated density**: 14.5 g/cm3
# **DOS at the Fermi energy**: 32.34 states/eV per cell
# **M_tot**: 0.7 μB per formula unit
# **Raw total energy**: -159.63 eV/cell
data_TiNi2Pt3
_chemical_formula_sum 'Ti4 Ni8 Pt12'
_symmetry_space_group_name_H-M 'C m c m'
_symmetry_Int_Tables_number 63
_symmetry_space_group_name_Hall '-C 2c 2'
_cell_length_a 5.496
_cell_length_b 13.126
_cell_length_c 4.781
_cell_angle_alpha 90.00
_cell_angle_beta 90.00
_cell_angle_gamma 90.00
loop_
_atom_site_label
_atom_site_type_symbol
_atom_site_fract_x
_atom_site_fract_y
_atom_site_fract_z
Ti1 Ti 0.000 0.147 0.250
Ni1 Ni 0.234 0.000 0.000
Pt1 Pt 0.000 0.363 0.750
Pt2 Pt 0.246 0.177 0.750

=====

Record 3
# Ti2NiPt8, optimized geometry, DFT PBE
# **Crystal system**: orthorhombic
# **ΔE_f**: -0.524 eV per atom
# **Calculated density**: 16.5 g/cm3
# **DOS at the Fermi energy**: 16.89 states/eV per cell
# **M_tot**: 0.0 μB per formula unit
# **Raw total energy**: -151.33 eV/cell
data_Ti2NiPt8
_chemical_formula_sum 'Ti4 Ni2 Pt16'
_symmetry_space_group_name_H-M 'I m m m'
_symmetry_Int_Tables_number 71
_symmetry_space_group_name_Hall '-I 2 2'
_cell_length_a 4.137
_cell_length_b 7.415
_cell_length_c 11.277
_cell_angle_alpha 90.00
_cell_angle_beta 90.00
_cell_angle_gamma 90.00
loop_
_atom_site_label
_atom_site_type_symbol
_atom_site_fract_x
_atom_site_fract_y
_atom_site_fract_z
Ti1 Ti 0.000 0.000 0.195
Ni1 Ni 0.000 0.000 0.500
Pt1 Pt 0.000 0.192 0.000
Pt2 Pt 0.000 0.272 0.343
Pt3 Pt 0.000 0.500 0.147

=====

Record 4
# Ti7Ni2Pt, optimized geometry, DFT PBE
# **Crystal system**: orthorhombic
# **ΔE_f**: 0.204 eV per atom
# **Calculated density**: 5.8 g/cm3
# **DOS at the Fermi energy**: 31.26 states/eV per cell
# **M_tot**: 0.0 μB per formula unit
# **Raw total energy**: -141.66 eV/cell
data_Ti7Ni2Pt
_chemical_formula_sum 'Ti14 Ni4 Pt2'
_symmetry_space_group_name_H-M 'C m m m'
_symmetry_Int_Tables_number 65
_symmetry_space_group_name_Hall '-C 2 2'
_cell_length_a 7.397
_cell_length_b 11.982
_cell_length_c 4.192
_cell_angle_alpha 90.00
_cell_angle_beta 90.00
_cell_angle_gamma 90.00
loop_
_atom_site_label
_atom_site_type_symbol
_atom_site_fract_x
_atom_site_fract_y
_atom_site_fract_z
Ti1 Ti 0.000 0.000 0.000
Ti2 Ti 0.000 0.258 0.500
Ti3 Ti 0.182 0.384 0.000
Ni1 Ni 0.000 0.194 0.000
Pt1 Pt 0.000 0.500 0.500

=====

Record 5
# Ti2Ni9Pt, optimized geometry, DFT PBE
# **Crystal system**: tetragonal
# **ΔE_f**: -0.324 eV per atom
# **Calculated density**: 9.5 g/cm3
# **DOS at the Fermi energy**: 14.67 states/eV per cell
# **M_tot**: 0.0 μB per formula unit
# **Raw total energy**: -77.75 eV/cell
data_Ti2Ni9Pt
_chemical_formula_sum 'Ti2 Ni9 Pt1'
_symmetry_space_group_name_H-M 'P 4/m m m'
_symmetry_Int_Tables_number 123
_symmetry_space_group_name_Hall '-P 4 2'
_cell_length_a 3.621
_cell_length_b 3.621
_cell_length_c 10.887
_cell_angle_alpha 90.00
_cell_angle_beta 90.00
_cell_angle_gamma 90.00
loop_
_atom_site_label
_atom_site_type_symbol
_atom_site_fract_x
_atom_site_fract_y
_atom_site_fract_z
Ti1 Ti 0.000 0.000 0.167
Ni1 Ni 0.000 0.500 0.000
Ni2 Ni 0.000 0.500 0.327
Ni3 Ni 0.500 0.500 0.164
Ni4 Ni 0.500 0.500 0.500
Pt1 Pt 0.000 0.000 0.500

=====

Record 6
# Ti2NiPt9, optimized geometry, DFT PBE
# **Crystal system**: triclinic
# **ΔE_f**: -0.518 eV per atom
# **Calculated density**: 17.3 g/cm3
# **DOS at the Fermi energy**: 10.91 states/eV per cell
# **M_tot**: 0.0 μB per formula unit
# **Raw total energy**: -82.16 eV/cell
data_Ti2NiPt9
_chemical_formula_sum 'Ti2 Ni1 Pt9'
_symmetry_space_group_name_H-M 'P -1'
_symmetry_Int_Tables_number 2
_cell_length_a 4.891
_cell_length_b 6.177
_cell_length_c 6.178
_cell_angle_alpha 84.55
_cell_angle_beta 83.33
_cell_angle_gamma 82.98
loop_
_symmetry_equiv_pos_as_xyz
'x,y,z'
'-x,-y,-z'
loop_
_atom_site_label
_atom_site_type_symbol
_atom_site_fract_x
_atom_site_fract_y
_atom_site_fract_z
Ti1 Ti 0.249 0.102 0.403
Ni1 Ni 0.000 0.500 0.500
Pt1 Pt 0.013 0.831 0.187
Pt2 Pt 0.243 0.762 0.731
Pt3 Pt 0.248 0.417 0.090
Pt4 Pt 0.482 0.326 0.661
Pt5 Pt 0.500 0.000 0.000

=====

What is the formula in the fourth record?
Ti7Ni2Pt

=====

Look up the calculated density of the sixth one.
17.3 g/cm3